P) VASP calculation (PBEsol) on a relaxed structure of FeCo2Re.

Cell: 3.5541 3.5541 4.3426 Å, 114.16 114.16 90.00°
Positions (direct):
1 Co 0.7500 0.2500 0.5000
2 Re 0.0000 0.0000 0.0000
3 Co 0.2500 0.7500 0.5000
4 Fe 0.5000 0.5000 0.0000

---

Q) VASP calculation (PBEsol) on a relaxed structure of FeCo2Re.

Cell: 4.0333 4.0333 4.0333 Å, 60.00 60.00 60.00°
Positions (direct):
1 Co 0.7500 0.7500 0.7500
2 Re 0.5000 0.5000 0.5000
3 Fe 0.0000 0.0000 0.0000
4 Co 0.2500 0.2500 0.2500

---

R) VASP calculation (PBEsol) on a relaxed structure of FeCo2Re.

Cell: 2.5879 2.5879 6.8475 Å, 90.00 90.00 90.00°
Positions (direct):
1 Fe 0.0000 0.0000 0.4829
2 Co 0.0000 0.0000 0.0148
3 Co 0.5000 0.5000 0.2491
4 Re 0.5000 0.5000 0.7532

---

P) comes first in stability; the runner-up is 101 meV per atom higher.

---

P) VASP calculation (PBEsol) on a relaxed structure of Fe2CoRh.

Cell: 2.8510 4.0849 4.7815 Å, 115.29 107.35 90.00°
Positions (direct):
1 Fe 0.9994 0.9994 0.9988
2 Rh 0.4982 0.4982 0.9964
3 Fe 0.7413 0.2413 0.4826
4 Co 0.2611 0.7611 0.5222

---

Q) VASP calculation (PBEsol) on a relaxed structure of Fe2CoRh.

Cell: 3.5481 3.5597 3.5597 Å, 90.00 90.00 90.00°
Positions (direct):
1 Fe 0.0000 0.5000 0.0000
2 Fe 0.0000 0.0000 0.5000
3 Rh 0.5000 0.5000 0.5000
4 Co 0.5000 0.0000 0.0000

---

P) comes first in stability; the runner-up is 28 meV per atom higher.